# Si4Ni3Ir GGA-PBE optimized geometry
data_Si4Ni3Ir
_chemical_formula_sum 'Si4 Ni3 Ir1'
_space_group_name_H-M_alt 'P 1'
_space_group_IT_number 1
_space_group_name_Hall 'P 1'
_cell_length_a 3.910
_cell_length_b 3.866
_cell_length_c 6.386
_cell_angle_alpha 90.00
_cell_angle_beta 90.61
_cell_angle_gamma 90.00
loop_
_atom_site_label
_atom_site_type_symbol
_atom_site_fract_x
_atom_site_fract_y
_atom_site_fract_z
Si1 Si 0.739 0.500 0.515
Ni1 Ni 0.248 0.500 0.750
Ni2 Ni 0.749 0.000 0.747
Ni3 Ni 0.758 0.000 0.312
Si2 Si 0.246 0.000 0.979
Si3 Si 0.751 0.500 0.981
Ir1 Ir 0.257 0.500 0.202
Si4 Si 0.252 0.000 0.514
# Raw total energy (eV/atom): -6.229